# PBE-GGA KHf3Os, optimized geometry
data_KHf3Os
_chemical_formula_sum 'K1 Hf3 Os1'
_cell_length_a 5.162
_cell_length_b 5.162
_cell_length_c 5.162
_cell_angle_alpha 90.00
_cell_angle_beta 90.00
_cell_angle_gamma 90.00
_space_group_name_H-M_alt 'P m -3 m'
_space_group_IT_number 221
_space_group_name_Hall '-P 4 2 3'
loop_
_atom_site_label
_atom_site_fract_x
_atom_site_fract_y
_atom_site_fract_z
_atom_site_occupancy
K1 0.000 0.000 0.000 1
Hf1 0.000 0.500 0.500 1
Os1 0.500 0.500 0.500 1
# * energy: -39.5 eV/cell
# * Fermi-level density of states: 5.669 states/eV per cell
# * DFT formation energy: 52 kJ per mole of atoms
# * energy above the lowest structure with this stoichiometry: 0.00 kcal/mol of atoms